1.
Here is a relaxed structure of Pm4Co3Si from the Alexandria database. Energies are from PBE.

Summary:
Fermi-level density of states = 8.28 states/eV/cell
formation energy from raw total energies = -2.2 eV per formula unit

```
Pm4Co3Si
1.0
4.078 0.000 0.000
0.000 4.235 0.000
0.000 0.000 10.285
Pm Co Si
4 3 1
direct
0.000 0.000 0.000 Pm
0.000 0.500 0.492 Pm
0.500 0.000 0.288 Pm
0.500 0.500 0.779 Pm
0.000 0.000 0.685 Co
0.000 0.500 0.203 Co
0.500 0.000 0.588 Co
0.500 0.500 0.084 Si
```

=====

2.
Here is a relaxed structure of Pm12Co6Si from the Alexandria database. Energies are from PBE.

Summary:
Fermi-level density of states = 10.78 states/eV/cell
formation energy from raw total energies = -2.7 eV per formula unit

```
Pm12Co6Si
1.0
-4.927 4.927 4.927
4.927 -4.927 4.927
4.927 4.927 -4.927
Pm Co Si
12 6 1
direct
0.110 0.808 0.302 Pm
0.192 0.302 0.494 Pm
0.192 0.698 0.890 Pm
0.302 0.110 0.808 Pm
0.302 0.494 0.192 Pm
0.494 0.192 0.302 Pm
0.506 0.808 0.698 Pm
0.698 0.506 0.808 Pm
0.698 0.890 0.192 Pm
0.808 0.302 0.110 Pm
0.808 0.698 0.506 Pm
0.890 0.192 0.698 Pm
0.112 0.612 0.500 Co
0.388 0.500 0.888 Co
0.500 0.112 0.612 Co
0.500 0.888 0.388 Co
0.612 0.500 0.112 Co
0.888 0.388 0.500 Co
0.000 0.000 0.000 Si
```

=====

3.
Here is a relaxed structure of PmCo2Si from the Alexandria database. Energies are from PBE.

Summary:
energy above the most stable polymorph in this dataset = 0.08 eV per formula unit
Fermi-level density of states = 14.90 states/eV/cell
formation energy from raw total energies = -1.9 eV per formula unit

```
PmCo2Si
1.0
3.972 0.000 0.000
-1.986 3.440 0.000
0.000 0.000 14.693
Pm Co Si
3 6 3
direct
0.000 0.000 0.000 Pm
0.333 0.667 0.667 Pm
0.667 0.333 0.333 Pm
0.000 0.000 0.195 Co
0.000 0.000 0.805 Co
0.333 0.667 0.472 Co
0.333 0.667 0.862 Co
0.667 0.333 0.138 Co
0.667 0.333 0.528 Co
0.000 0.000 0.500 Si
0.333 0.667 0.167 Si
0.667 0.333 0.833 Si
```